No. 1
# Rb2AcRhO6 | the Alexandria database | GGA-PBE | relaxed
# Formation energy from raw total energies (eV per atom): -1.4426
data_Rb2AcRhO6
_symmetry_space_group_name_H-M 'F m -3 m'
_symmetry_Int_Tables_number 225
_symmetry_space_group_name_Hall '-F 4 2 3'
_cell_length_a 8.842
_cell_length_b 8.842
_cell_length_c 8.842
_cell_angle_alpha 90.00
_cell_angle_beta 90.00
_cell_angle_gamma 90.00
loop_
_atom_site_label
_atom_site_type_symbol
_atom_site_fract_x
_atom_site_fract_y
_atom_site_fract_z
Rb1 Rb 0.250 0.250 0.250
Ac1 Ac 0.000 0.000 0.000
Rh1 Rh 0.000 0.000 0.500
O1 O 0.000 0.000 0.279

***

No. 2
# UGeC | the Alexandria database | GGA-PBE | relaxed
# E above lowest polymorph (eV per formula unit): 0.00
data_UGeC
_symmetry_space_group_name_H-M 'C m c m'
_symmetry_Int_Tables_number 63
_symmetry_space_group_name_Hall '-C 2c 2'
_cell_length_a 3.171
_cell_length_b 16.214
_cell_length_c 3.693
_cell_angle_alpha 90.00
_cell_angle_beta 90.00
_cell_angle_gamma 90.00
loop_
_atom_site_label
_atom_site_type_symbol
_atom_site_fract_x
_atom_site_fract_y
_atom_site_fract_z
U1 U 0.000 0.080 0.250
Ge1 Ge 0.000 0.227 0.750
C1 C 0.000 0.438 0.250

***

No. 3
# Li2YSb | the Alexandria database | GGA-PBE | relaxed
# Formation energy from raw total energies (eV per atom): -0.0567
data_Li2YSb
_symmetry_space_group_name_H-M 'R -3 m'
_symmetry_Int_Tables_number 166
_symmetry_space_group_name_Hall '-R 3 2"'
_cell_length_a 3.4079
_cell_length_b 3.4079
_cell_length_c 30.0161
_cell_angle_alpha 90.00
_cell_angle_beta 90.00
_cell_angle_gamma 120.00
loop_
_atom_site_label
_atom_site_type_symbol
_atom_site_fract_x
_atom_site_fract_y
_atom_site_fract_z
Li1 Li 0.0000 0.0000 0.2369
Y1 Y 0.0000 0.0000 0.0000
Sb1 Sb 0.0000 0.0000 0.5000

***

No. 4
# Sc3ZnC | the Alexandria database | GGA-PBE | relaxed
# E above lowest polymorph (eV per formula unit): 0.07
data_Sc3ZnC
_symmetry_space_group_name_H-M 'P m -3 m'
_symmetry_Int_Tables_number 221
_symmetry_space_group_name_Hall '-P 4 2 3'
_cell_length_a 4.510
_cell_length_b 4.510
_cell_length_c 4.510
_cell_angle_alpha 90.00
_cell_angle_beta 90.00
_cell_angle_gamma 90.00
loop_
_atom_site_label
_atom_site_type_symbol
_atom_site_fract_x
_atom_site_fract_y
_atom_site_fract_z
Sc1 Sc 0.000 0.000 0.500
Zn1 Zn 0.500 0.500 0.500
C1 C 0.000 0.000 0.000

***

No. 5
# YBeSeBr2 | the Alexandria database | GGA-PBE | relaxed
# E above lowest polymorph (eV per formula unit): 1.08
# Formation energy from raw total energies (eV per atom): -0.4117
data_YBeSeBr2
_symmetry_space_group_name_H-M 'P 4/m m m'
_symmetry_Int_Tables_number 123
_symmetry_space_group_name_Hall '-P 4 2'
_cell_length_a 5.521
_cell_length_b 5.521
_cell_length_c 5.616
_cell_angle_alpha 90.00
_cell_angle_beta 90.00
_cell_angle_gamma 90.00
loop_
_atom_site_label
_atom_site_type_symbol
_atom_site_fract_x
_atom_site_fract_y
_atom_site_fract_z
Y1 Y 0.000 0.000 0.000
Be1 Be 0.500 0.500 0.500
Se1 Se 0.000 0.000 0.500
Br1 Br 0.000 0.500 0.000

***

No. 6
# YCdW3 | the Alexandria database | GGA-PBE | relaxed
# E above lowest polymorph (eV per formula unit): 2.39
data_YCdW3
_symmetry_space_group_name_H-M 'P m -3 m'
_symmetry_Int_Tables_number 221
_symmetry_space_group_name_Hall '-P 4 2 3'
_cell_length_a 4.867
_cell_length_b 4.867
_cell_length_c 4.867
_cell_angle_alpha 90.00
_cell_angle_beta 90.00
_cell_angle_gamma 90.00
loop_
_atom_site_label
_atom_site_type_symbol
_atom_site_fract_x
_atom_site_fract_y
_atom_site_fract_z
Y1 Y 0.000 0.000 0.000
Cd1 Cd 0.500 0.500 0.500
W1 W 0.000 0.000 0.500

***

No. 7
# TiMn2Ni | the Alexandria database | GGA-PBE | relaxed
# Electronic total energy (eV per atom): -7.7094
data_TiMn2Ni
_symmetry_space_group_name_H-M 'I -4 2 d'
_symmetry_Int_Tables_number 122
_symmetry_space_group_name_Hall 'I -4 2bw'
_cell_length_a 6.659
_cell_length_b 6.659
_cell_length_c 5.160
_cell_angle_alpha 90.00
_cell_angle_beta 90.00
_cell_angle_gamma 90.00
loop_
_atom_site_label
_atom_site_type_symbol
_atom_site_fract_x
_atom_site_fract_y
_atom_site_fract_z
Ti1 Ti 0.000 0.000 0.000
Mn1 Mn 0.224 0.250 0.625
Ni1 Ni 0.000 0.000 0.500

***

No. 8
# Ac3Nd3MgTe8 | the Alexandria database | GGA-PBE | relaxed
# Formation energy from raw total energies (eV per atom): -1.3904
data_Ac3Nd3MgTe8
_symmetry_space_group_name_H-M 'R -3 m'
_symmetry_Int_Tables_number 166
_symmetry_space_group_name_Hall '-R 3 2"'
_cell_length_a 9.1284
_cell_length_b 9.1284
_cell_length_c 22.7751
_cell_angle_alpha 90.00
_cell_angle_beta 90.00
_cell_angle_gamma 120.00
loop_
_atom_site_label
_atom_site_type_symbol
_atom_site_fract_x
_atom_site_fract_y
_atom_site_fract_z
Ac1 Ac 0.0000 0.5000 0.0000
Nd1 Nd 0.0000 0.5000 0.5000
Mg1 Mg 0.0000 0.0000 0.5000
Te1 Te 0.0000 0.0000 0.2452
Te2 Te 0.0107 0.5053 0.2428

***

No. 9
# BaTaW2 | the Alexandria database | GGA-PBE | relaxed
# E above lowest polymorph (eV per formula unit): 2.87
data_BaTaW2
_symmetry_space_group_name_H-M 'C m m m'
_symmetry_Int_Tables_number 65
_symmetry_space_group_name_Hall '-C 2 2'
_cell_length_a 5.658
_cell_length_b 10.390
_cell_length_c 2.821
_cell_angle_alpha 90.00
_cell_angle_beta 90.00
_cell_angle_gamma 90.00
loop_
_atom_site_label
_atom_site_type_symbol
_atom_site_fract_x
_atom_site_fract_y
_atom_site_fract_z
Ba1 Ba 0.000 0.000 0.000
Ta1 Ta 0.000 0.500 0.000
W1 W 0.250 0.250 0.500

***

No. 10
# LiBe2Cr2 | the Alexandria database | GGA-PBE | relaxed
# E above lowest polymorph (eV per formula unit): 0.04
data_LiBe2Cr2
_symmetry_space_group_name_H-M 'P 4/m b m'
_symmetry_Int_Tables_number 127
_symmetry_space_group_name_Hall '-P 4 2ab'
_cell_length_a 7.176
_cell_length_b 7.176
_cell_length_c 2.225
_cell_angle_alpha 90.00
_cell_angle_beta 90.00
_cell_angle_gamma 90.00
loop_
_atom_site_label
_atom_site_type_symbol
_atom_site_fract_x
_atom_site_fract_y
_atom_site_fract_z
Li1 Li 0.000 0.000 0.000
Be1 Be 0.179 0.321 0.000
Cr1 Cr 0.113 0.613 0.500

***

No. 11
# CuHg2I6 | the Alexandria database | GGA-PBE | relaxed
# Formation energy from raw total energies (eV per atom): -0.1967
data_CuHg2I6
_symmetry_space_group_name_H-M 'C 1 2/c 1'
_symmetry_Int_Tables_number 15
_cell_length_a 15.644
_cell_length_b 14.902
_cell_length_c 7.633
_cell_angle_alpha 90.00
_cell_angle_beta 112.78
_cell_angle_gamma 90.00
loop_
_symmetry_equiv_pos_as_xyz
'x,y,z'
'-x,-y,-z'
'-x,y,-z+1/2'
'x,-y,z+1/2'
'x+1/2,y+1/2,z'
'-x+1/2,-y+1/2,-z'
'-x+1/2,y+1/2,-z+1/2'
'x+1/2,-y+1/2,z+1/2'
loop_
_atom_site_label
_atom_site_type_symbol
_atom_site_fract_x
_atom_site_fract_y
_atom_site_fract_z
Cu1 Cu 0.000 0.196 0.250
Hg1 Hg 0.211 0.409 0.387
I1 I 0.100 0.113 0.561
I2 I 0.112 0.271 0.120
I3 I 0.153 0.419 0.694

***

No. 12
# NpInGa2 | the Alexandria database | GGA-PBE | relaxed
# E above lowest polymorph (eV per formula unit): 0.29
data_NpInGa2
_symmetry_space_group_name_H-M 'I m m a'
_symmetry_Int_Tables_number 74
_symmetry_space_group_name_Hall '-I 2b 2'
_cell_length_a 6.364
_cell_length_b 6.535
_cell_length_c 8.315
_cell_angle_alpha 90.00
_cell_angle_beta 90.00
_cell_angle_gamma 90.00
loop_
_atom_site_label
_atom_site_type_symbol
_atom_site_fract_x
_atom_site_fract_y
_atom_site_fract_z
Np1 Np 0.000 0.250 0.041
In1 In 0.000 0.250 0.451
Ga1 Ga 0.250 0.053 0.750

***

No. 13
# SmTlO2 | the Alexandria database | GGA-PBE | relaxed
# E above lowest polymorph (eV per formula unit): 0.04
# Formation energy from raw total energies (eV per atom): -2.2616
data_SmTlO2
_symmetry_space_group_name_H-M 'R 3 m'
_symmetry_Int_Tables_number 160
_symmetry_space_group_name_Hall 'R 3 -2"'
_cell_length_a 3.6182
_cell_length_b 3.6182
_cell_length_c 20.4479
_cell_angle_alpha 90.00
_cell_angle_beta 90.00
_cell_angle_gamma 120.00
loop_
_atom_site_label
_atom_site_type_symbol
_atom_site_fract_x
_atom_site_fract_y
_atom_site_fract_z
Sm1 Sm 0.0000 0.0000 0.0000
Tl1 Tl 0.0000 0.0000 0.1819
O1 O 0.0000 0.0000 0.3779
O2 O 0.0000 0.0000 0.5992

***

No. 14
# Ac12NdCo6 | the Alexandria database | GGA-PBE | relaxed
# Electronic total energy (eV per atom): -5.0991
data_Ac12NdCo6
_symmetry_space_group_name_H-M 'R -3'
_symmetry_Int_Tables_number 148
_symmetry_space_group_name_Hall '-R 3'
_cell_length_a 15.1321
_cell_length_b 15.1321
_cell_length_c 9.2682
_cell_angle_alpha 90.00
_cell_angle_beta 90.00
_cell_angle_gamma 120.00
loop_
_atom_site_label
_atom_site_type_symbol
_atom_site_fract_x
_atom_site_fract_y
_atom_site_fract_z
Ac1 Ac 0.0220 0.1683 0.1631
Ac2 Ac 0.0416 0.2735 0.5831
Nd1 Nd 0.0000 0.0000 0.5000
Co1 Co 0.0363 0.4646 0.5708

***

No. 15
# DyThPd3 | the Alexandria database | GGA-PBE | relaxed
# E above lowest polymorph (eV per formula unit): 0.21
data_DyThPd3
_symmetry_space_group_name_H-M 'P 1 21/m 1'
_symmetry_Int_Tables_number 11
_cell_length_a 5.368
_cell_length_b 5.632
_cell_length_c 7.311
_cell_angle_alpha 90.00
_cell_angle_beta 102.40
_cell_angle_gamma 90.00
loop_
_symmetry_equiv_pos_as_xyz
'x,y,z'
'-x,-y,-z'
'-x,y+1/2,-z'
'x,-y+1/2,z'
loop_
_atom_site_label
_atom_site_type_symbol
_atom_site_fract_x
_atom_site_fract_y
_atom_site_fract_z
Dy1 Dy 0.085 0.250 0.141
Th1 Th 0.252 0.250 0.631
Pd1 Pd 0.214 0.750 0.241
Pd2 Pd 0.338 0.750 0.642
Pd3 Pd 0.500 0.000 0.000

***

No. 16
# TaTe2BrN | the Alexandria database | GGA-PBE | relaxed
# E above lowest polymorph (eV per formula unit): 7.80
# Formation energy from raw total energies (eV per atom): 1.7272
data_TaTe2BrN
_symmetry_space_group_name_H-M 'P 4/m m m'
_symmetry_Int_Tables_number 123
_symmetry_space_group_name_Hall '-P 4 2'
_cell_length_a 5.579
_cell_length_b 5.579
_cell_length_c 3.635
_cell_angle_alpha 90.00
_cell_angle_beta 90.00
_cell_angle_gamma 90.00
loop_
_atom_site_label
_atom_site_type_symbol
_atom_site_fract_x
_atom_site_fract_y
_atom_site_fract_z
Ta1 Ta 0.000 0.000 0.000
Te1 Te 0.000 0.500 0.500
Br1 Br 0.500 0.500 0.500
N1 N 0.500 0.500 0.000

***

No. 17
# NpAsO | the Alexandria database | GGA-PBE | relaxed
# E above lowest polymorph (eV per formula unit): 0.71
# Formation energy from raw total energies (eV per atom): -1.6013
data_NpAsO
_symmetry_space_group_name_H-M 'P -6 m 2'
_symmetry_Int_Tables_number 187
_symmetry_space_group_name_Hall 'P -6 2'
_cell_length_a 3.7909
_cell_length_b 3.7909
_cell_length_c 4.2261
_cell_angle_alpha 90.00
_cell_angle_beta 90.00
_cell_angle_gamma 120.00
loop_
_atom_site_label
_atom_site_type_symbol
_atom_site_fract_x
_atom_site_fract_y
_atom_site_fract_z
Np1 Np 0.0000 0.0000 0.0000
As1 As 0.6667 0.3333 0.5000
O1 O 0.3333 0.6667 0.0000

***

No. 18
# Sm15Y4In | the Alexandria database | GGA-PBE | relaxed
# Electronic total energy (eV per atom): -5.0044
data_Sm15Y4In
_symmetry_space_group_name_H-M 'P 4/m m m'
_symmetry_Int_Tables_number 123
_symmetry_space_group_name_Hall '-P 4 2'
_cell_length_a 5.060
_cell_length_b 5.060
_cell_length_c 25.584
_cell_angle_alpha 90.00
_cell_angle_beta 90.00
_cell_angle_gamma 90.00
loop_
_atom_site_label
_atom_site_type_symbol
_atom_site_fract_x
_atom_site_fract_y
_atom_site_fract_z
Sm1 Sm 0.000 0.000 0.000
Sm2 Sm 0.000 0.000 0.197
Sm3 Sm 0.000 0.000 0.399
Sm4 Sm 0.000 0.500 0.096
Sm5 Sm 0.000 0.500 0.298
Sm6 Sm 0.000 0.500 0.500
Y1 Y 0.500 0.500 0.198
Y2 Y 0.500 0.500 0.399
In1 In 0.500 0.500 0.000

***

No. 19
# KNiMo3 | the Alexandria database | GGA-PBE | relaxed
# E above lowest polymorph (eV per formula unit): 0.00
data_KNiMo3
_symmetry_space_group_name_H-M 'P m -3 m'
_symmetry_Int_Tables_number 221
_symmetry_space_group_name_Hall '-P 4 2 3'
_cell_length_a 4.688
_cell_length_b 4.688
_cell_length_c 4.688
_cell_angle_alpha 90.00
_cell_angle_beta 90.00
_cell_angle_gamma 90.00
loop_
_atom_site_label
_atom_site_type_symbol
_atom_site_fract_x
_atom_site_fract_y
_atom_site_fract_z
K1 K 0.000 0.000 0.000
Ni1 Ni 0.500 0.500 0.500
Mo1 Mo 0.000 0.500 0.500

***

No. 20
# Sr5DyPb6 | the Alexandria database | GGA-PBE | relaxed
# Electronic total energy (eV per atom): -3.4507
data_Sr5DyPb6
_symmetry_space_group_name_H-M 'C 1 2/m 1'
_symmetry_Int_Tables_number 12
_cell_length_a 17.851
_cell_length_b 7.588
_cell_length_c 6.029
_cell_angle_alpha 90.00
_cell_angle_beta 98.46
_cell_angle_gamma 90.00
loop_
_symmetry_equiv_pos_as_xyz
'x,y,z'
'-x,-y,-z'
'-x,y,-z'
'x,-y,z'
'x+1/2,y+1/2,z'
'-x+1/2,-y+1/2,-z'
'-x+1/2,y+1/2,-z'
'x+1/2,-y+1/2,z'
loop_
_atom_site_label
_atom_site_type_symbol
_atom_site_fract_x
_atom_site_fract_y
_atom_site_fract_z
Sr1 Sr 0.000 0.000 0.000
Sr2 Sr 0.165 0.000 0.678
Sr3 Sr 0.180 0.500 0.705
Dy1 Dy 0.000 0.500 0.000
Pb1 Pb 0.000 0.279 0.500
Pb2 Pb 0.155 0.271 0.190

***

No. 21
# PrPuU | the Alexandria database | GGA-PBE | relaxed
# Electronic total energy (eV per atom): -9.8271
data_PrPuU
_symmetry_space_group_name_H-M 'P n m a'
_symmetry_Int_Tables_number 62
_cell_length_a 6.559
_cell_length_b 5.219
_cell_length_c 8.884
_cell_angle_alpha 90.00
_cell_angle_beta 90.00
_cell_angle_gamma 90.00
loop_
_symmetry_equiv_pos_as_xyz
'x,y,z'
'-x,-y,-z'
'-x+1/2,-y,z+1/2'
'x+1/2,y,-z+1/2'
'x+1/2,-y+1/2,-z+1/2'
'-x+1/2,y+1/2,z+1/2'
'-x,y+1/2,-z'
'x,-y+1/2,z'
loop_
_atom_site_label
_atom_site_type_symbol
_atom_site_fract_x
_atom_site_fract_y
_atom_site_fract_z
Pr1 Pr 0.072 0.250 0.156
Pu1 Pu 0.235 0.750 0.329
U1 U 0.109 0.250 0.554

***

No. 22
# CaIN2F | the Alexandria database | GGA-PBE | relaxed
# E above lowest polymorph (eV per formula unit): 1.22
# Formation energy from raw total energies (eV per atom): 0.4959
data_CaIN2F
_symmetry_space_group_name_H-M 'P 4/m m m'
_symmetry_Int_Tables_number 123
_symmetry_space_group_name_Hall '-P 4 2'
_cell_length_a 4.982
_cell_length_b 4.982
_cell_length_c 4.248
_cell_angle_alpha 90.00
_cell_angle_beta 90.00
_cell_angle_gamma 90.00
loop_
_atom_site_label
_atom_site_type_symbol
_atom_site_fract_x
_atom_site_fract_y
_atom_site_fract_z
Ca1 Ca 0.000 0.000 0.000
I1 I 0.500 0.500 0.500
N1 N 0.000 0.500 0.000
F1 F 0.000 0.000 0.500

***

| no. | total magnetization (μB per formula unit) |
| --- | --- |
| 1 | 4.041 |
| 2 | 0.754 |
| 3 | 0.000 |
| 4 | 0.990 |
| 5 | 0.544 |
| 6 | 0.000 |
| 7 | 5.871 |
| 8 | 0.000 |
| 9 | 0.000 |
| 10 | 0.000 |
| 11 | 0.911 |
| 12 | 4.269 |
| 13 | 0.000 |
| 14 | 0.004 |
| 15 | 0.000 |
| 16 | 1.417 |
| 17 | 2.231 |
| 18 | 0.000 |
| 19 | 2.365 |
| 20 | 0.000 |
| 21 | 4.075 |
| 22 | 4.223 |